VASP calculation (meta-GGA SCAN) on a crystal of AgRu2Cl relaxed with PBEsol.

```
AgRu2Cl
1.0
2.8847 -3.5824 0.0000
2.8847 3.5824 0.0000
0.0000 0.0000 2.8109
Ag Ru Cl
1 2 1
direct
0.0000 0.0000 0.0000 Ag
0.0000 0.5000 0.5000 Ru
0.5000 0.0000 0.5000 Ru
0.5000 0.5000 0.0000 Cl
```

* density of states at the Fermi level: 4.25 states/eV/f.u.

***

VASP calculation (meta-GGA SCAN) on a crystal of AgRuCl2 relaxed with PBEsol.

```
AgRuCl2
1.0
-1.7822 1.7822 5.6488
1.7822 -1.7822 5.6488
1.7822 1.7822 -5.6488
Ag Ru Cl
1 1 2
direct
0.0000 0.0000 0.0000 Ag
0.2500 0.7500 0.5000 Ru
0.5000 0.5000 0.0000 Cl
0.7500 0.2500 0.5000 Cl
```

* density of states at the Fermi level: 2.48 states/eV/f.u.
* relative energy among the computed polymorphs: 0.082 eV/atom

***

VASP calculation (meta-GGA SCAN) on a crystal of AgRuCl2 relaxed with PBEsol.

```
AgRuCl2
1.0
3.0660 0.0000 0.0000
0.0000 3.9753 0.0000
0.0000 0.0000 5.8123
Ag Ru Cl
1 1 2
direct
0.0000 0.0000 0.0000 Ag
0.5000 0.0000 0.5000 Ru
0.0000 0.5000 0.5000 Cl
0.5000 0.5000 0.0000 Cl
```

* density of states at the Fermi level: 2.04 states/eV/f.u.
* relative energy among the computed polymorphs: 0.094 eV/atom

***

VASP calculation (meta-GGA SCAN) on a crystal of AgSbS2Cl relaxed with PBEsol.

```
AgSbS2Cl
1.0
4.7072 0.0000 0.0000
0.0000 4.7072 0.0000
0.0000 0.0000 4.7922
Ag Sb S Cl
1 1 2 1
direct
0.0000 0.0000 0.0000 Ag
0.5000 0.5000 0.0000 Sb
0.0000 0.5000 0.5000 S
0.5000 0.0000 0.5000 S
0.0000 0.0000 0.5000 Cl
```

* density of states at the Fermi level: 2.95 states/eV/f.u.

***

VASP calculation (meta-GGA SCAN) on a crystal of SiAgS2Cl relaxed with PBEsol.

```
SiAgS2Cl
1.0
4.2862 0.0000 0.0000
0.0000 4.2862 0.0000
0.0000 0.0000 5.4898
Si Ag S Cl
1 1 2 1
direct
0.0000 0.0000 0.0000 Si
0.0000 0.0000 0.5000 Ag
0.0000 0.5000 0.0000 S
0.5000 0.0000 0.0000 S
0.5000 0.5000 0.5000 Cl
```

* density of states at the Fermi level: 1.81 states/eV/f.u.

***

VASP calculation (meta-GGA SCAN) on a crystal of TaAgS2Cl relaxed with PBEsol.

```
TaAgS2Cl
1.0
4.7233 0.0000 0.0000
0.0000 4.7233 0.0000
0.0000 0.0000 4.5883
Ta Ag S Cl
1 1 2 1
direct
0.0000 0.0000 0.0000 Ta
0.5000 0.5000 0.5000 Ag
0.0000 0.5000 0.5000 S
0.5000 0.0000 0.5000 S
0.5000 0.5000 0.0000 Cl
```

* density of states at the Fermi level: 3.16 states/eV/f.u.

***

VASP calculation (meta-GGA SCAN) on a crystal of TcAgS2Cl relaxed with PBEsol.

```
TcAgS2Cl
1.0
4.4711 0.0000 0.0000
0.0000 4.4711 0.0000
0.0000 0.0000 5.0449
Tc Ag S Cl
1 1 2 1
direct
0.0000 0.0000 0.0000 Tc
0.5000 0.5000 0.5000 Ag
0.0000 0.5000 0.0000 S
0.5000 0.0000 0.0000 S
0.0000 0.0000 0.5000 Cl
```

* density of states at the Fermi level: 2.75 states/eV/f.u.

***

VASP calculation (meta-GGA SCAN) on a crystal of TiAgSCl2 relaxed with PBEsol.

```
TiAgSCl2
1.0
4.7745 0.0000 0.0000
0.0000 4.7745 0.0000
0.0000 0.0000 4.9105
Ti Ag S Cl
1 1 1 2
direct
0.0000 0.0000 0.0000 Ti
0.5000 0.5000 0.5000 Ag
0.5000 0.5000 0.0000 S
0.0000 0.5000 0.5000 Cl
0.5000 0.0000 0.5000 Cl
```

* density of states at the Fermi level: 0.99 states/eV/f.u.

***

no.,total moment (μB/cell),density (g/cm3),energy (eV for the cell shown)
1,0.00,9.87,-104.5
2,2.38,6.48,-80.9
3,2.30,6.56,-80.9
4,0.00,5.15,-91.6
5,0.00,3.88,-67.6
6,2.32,6.30,-120.3
7,0.00,5.03,-93.3
8,2.00,3.84,-73.4